(1)
Below is an optimized crystal structure of LaBe2TeO8, with properties calculated at the PBE level.

Unit cell a=4.9092 b=4.9092 c=6.8388 alpha=90.00 beta=90.00 gamma=120.00
Space group P-3 (No. 147)
Unique sites:
La (0.0000, 0.0000, 0.0000) [1 per cell]
Be (0.3333, 0.6667, 0.7287) [2 per cell]
Te (0.0000, 0.0000, 0.5000) [1 per cell]
O (0.0479, 0.3245, 0.6799) [6 per cell]
O (0.3333, 0.6667, 0.9729) [2 per cell]

Values from the calculation:
**DOS at the Fermi energy**: 0.633 states/eV per atom
**Raw formation energy**: -1625 meV/atom

---

(2)
Below is an optimized crystal structure of LaBe4Te3O12, with properties calculated at the PBE level.

Unit cell a=10.4124 b=10.4124 c=8.1241 alpha=90.00 beta=90.00 gamma=120.00
Space group R32 (No. 155, hexagonal axes)
Unique sites:
La (0.0000, 0.0000, 0.0000) [3 per cell]
Be (0.0000, 0.0000, 0.5000) [3 per cell]
Be (0.0000, 0.4486, 0.5000) [9 per cell]
Te (0.0000, 0.5452, 0.0000) [9 per cell]
O (0.0000, 0.5988, 0.5000) [9 per cell]
O (0.0000, 0.8512, 0.5000) [9 per cell]
O (0.0261, 0.2052, 0.1814) [18 per cell]

Values from the calculation:
**DOS at the Fermi energy**: 0.297 states/eV per atom
**Raw formation energy**: -1837 meV/atom

---

(3)
Below is an optimized crystal structure of La2TiBeO6, with properties calculated at the PBE level.

Unit cell a=5.4130 b=5.4130 c=26.7608 alpha=90.00 beta=90.00 gamma=120.00
Space group R-3m (No. 166, hexagonal axes)
Unique sites:
La (0.0000, 0.0000, 0.1322) [6 per cell]
La (0.0000, 0.0000, 0.2860) [6 per cell]
Ti (0.0000, 0.0000, 0.4098) [6 per cell]
Be (0.0000, 0.0000, 0.0000) [3 per cell]
Be (0.0000, 0.0000, 0.5000) [3 per cell]
O (0.0080, 0.5040, 0.1259) [18 per cell]
O (0.0098, 0.5049, 0.7065) [18 per cell]

Values from the calculation:
**DOS at the Fermi energy**: 0.000 states/eV per atom
**Raw formation energy**: -3072 meV/atom